1.
Entry from Alexandria via LeMat-Bulk: crystalline Pr7Sm2Er2 at its relaxed geometry (GGA-PBE).

abc: 9.698 6.996 6.996
angles: 122.21 90.00 90.00
Fractional positions:
Pr 0.685 0.000 0.500
Pr 0.315 0.000 0.500
Pr 0.179 0.500 0.500
Pr 0.821 0.500 0.500
Pr 0.315 0.500 0.000
Pr 0.685 0.500 0.000
Pr 0.000 0.000 0.000
Sm 0.500 0.750 0.750
Sm 0.500 0.250 0.250
Er 0.000 0.732 0.268
Er 0.000 0.268 0.732

Its crystal system is orthorhombic. For the formation energy, the calculation gives 0.323 eV/atom. Its energy relative to the lowest polymorph listed for this composition is 228 meV per atom. Its electronic total energy is -4.406 eV/atom.

2.
Entry from Alexandria via LeMat-Bulk: crystalline Pr4Sm4Er3 at its relaxed geometry (GGA-PBE).

abc: 3.571 5.724 18.432
angles: 81.14 84.44 90.01
Fractional positions:
Sm 0.409 0.908 0.181
Sm 0.733 0.733 0.535
Sm 0.267 0.267 0.465
Sm 0.591 0.092 0.819
Er 0.863 0.363 0.272
Er 0.000 0.000 0.000
Er 0.137 0.637 0.728
Pr 0.680 0.180 0.641
Pr 0.320 0.820 0.359
Pr 0.454 0.452 0.092
Pr 0.547 0.548 0.908

Its crystal system is triclinic. For the formation energy, the calculation gives 0.057 eV/atom. Its energy relative to the lowest polymorph listed for this composition is 11 meV per atom. Its electronic total energy is -4.641 eV/atom.

3.
Entry from Alexandria via LeMat-Bulk: crystalline Pr4Sm7Er at its relaxed geometry (GGA-PBE).

abc: 6.980 9.028 9.267
angles: 83.72 93.68 46.64
Fractional positions:
Sm 0.987 0.315 0.642
Sm 0.500 0.000 0.000
Sm 0.013 0.685 0.358
Sm 0.292 0.808 0.618
Sm 0.736 0.511 0.949
Sm 0.708 0.192 0.382
Sm 0.264 0.489 0.051
Pr 0.551 0.644 0.282
Pr 0.449 0.356 0.718
Pr 0.768 0.840 0.690
Pr 0.232 0.160 0.310
Er 0.000 0.000 0.000

Its crystal system is triclinic. For the formation energy, the calculation gives 0.085 eV/atom. Its energy relative to the lowest polymorph listed for this composition is 0 meV per atom. Its electronic total energy is -4.641 eV/atom.

Fermi-level density of states in states/eV/f.u., matching the order above: 19.8, 18.7, 18.6